A relaxed LaPdCl crystal, computed with GGA-PBE.

Results
E_form (uncorrected) (meV per atom): -1344.7
Energy (eV/atom): -5.334
Distance to the lowest polymorph of the same formula (kJ per mole of atoms): 12.7
Size of the total moment (μB per formula unit): 0.0

```
6
Lattice="2.1338 1.2319 11.2162 -2.1338 1.2319 11.2162 0.0000 -2.4638 11.2162" Properties=species:S:1:pos:R:3 pbc="T T T"
La 0.0000 0.0000 7.9655
La 0.0000 0.0000 25.6829
Pd 0.0000 0.0000 4.8696
Pd 0.0000 0.0000 28.7789
Cl 0.0000 0.0000 12.8077
Cl 0.0000 0.0000 20.8408
```

---

A relaxed AlCoTc2Rh crystal, computed with GGA-PBE.

Results
Energy (eV/atom): -6.250
Size of the total moment (μB per formula unit): 3.7

```
5
Lattice="4.6426 0.0000 0.0000 0.0000 4.6426 0.0000 0.0000 0.0000 4.4997" Properties=species:S:1:pos:R:3 pbc="T T T"
Al 0.0000 0.0000 0.0000
Co 2.3213 2.3213 0.0000
Tc 0.0000 2.3213 2.2498
Tc 2.3213 0.0000 2.2498
Rh 2.3213 2.3213 2.2498
```

---

A relaxed Ho2FePb crystal, computed with GGA-PBE.

Results
Energy (eV/atom): -5.145
Size of the total moment (μB per formula unit): 1.0

```
4
Lattice="1.7798 1.0276 9.9456 -1.7798 1.0276 9.9456 0.0000 -2.0552 9.9456" Properties=species:S:1:pos:R:3 pbc="T T T"
Ho 0.0000 0.0000 3.2219
Ho 0.0000 0.0000 26.6147
Fe 0.0000 0.0000 14.9183
Pb 0.0000 0.0000 0.0000
```

---

A relaxed InCu2O crystal, computed with GGA-PBE.

Results
E_form (uncorrected) (meV per atom): 265.8
Energy (eV/atom): -3.706
Distance to the lowest polymorph of the same formula (kJ per mole of atoms): 42.7
Size of the total moment (μB per formula unit): 0.0

```
4
Lattice="0.0000 3.0375 3.0375 3.0375 0.0000 3.0375 3.0375 3.0375 0.0000" Properties=species:S:1:pos:R:3 pbc="T T T"
In 0.0000 0.0000 0.0000
Cu 1.5187 1.5187 1.5187
Cu 4.5562 4.5562 4.5562
O 3.0375 3.0375 3.0375
```

---

A relaxed EuErCuNi crystal, computed with GGA-PBE.

Results
Energy (eV/atom): -6.335
Size of the total moment (μB per formula unit): 7.0

```
4
Lattice="0.0000 3.4625 3.4625 3.4625 0.0000 3.4625 3.4625 3.4625 0.0000" Properties=species:S:1:pos:R:3 pbc="T T T"
Eu 0.0000 0.0000 0.0000
Er 3.4625 3.4625 3.4625
Cu 5.1938 5.1938 5.1938
Ni 1.7313 1.7313 1.7313
```

---

A relaxed La2PrNd4Er crystal, computed with GGA-PBE.

Results
Energy (eV/atom): -4.764
Size of the total moment (μB per formula unit): 0.0

```
8
Lattice="5.1893 0.0000 0.0000 0.0000 5.2026 0.0000 -0.0105 0.0000 10.4592" Properties=species:S:1:pos:R:3 pbc="T T T"
La 0.0000 0.0000 0.0000
La 2.5894 2.6013 5.2296
Pr -0.0052 0.0000 5.2296
Nd -0.0038 2.6013 7.8781
Nd 2.5905 0.0000 2.5873
Nd 2.5883 0.0000 7.8718
Nd 5.1826 2.6013 2.5811
Er 2.5946 2.6013 0.0000
```

---

A relaxed RbNaI2N crystal, computed with GGA-PBE.

Results
E_form (uncorrected) (meV per atom): -40.8
Energy (eV/atom): -2.783
Distance to the lowest polymorph of the same formula (kJ per mole of atoms): 0.0
Size of the total moment (μB per formula unit): 3.0

```
5
Lattice="6.2066 0.0000 0.0000 0.0000 6.2066 0.0000 0.0000 0.0000 4.9893" Properties=species:S:1:pos:R:3 pbc="T T T"
Rb 0.0000 0.0000 0.0000
Na 3.1033 3.1033 2.4947
I 0.0000 3.1033 2.4947
I 3.1033 0.0000 2.4947
N 3.1033 3.1033 0.0000
```

---

A relaxed Mg2NbN3 crystal, computed with GGA-PBE.

Results
E_form (uncorrected) (meV per atom): -968.9
Energy (eV/atom): -7.341
Distance to the lowest polymorph of the same formula (kJ per mole of atoms): 2.9
Size of the total moment (μB per formula unit): 0.0

```
12
Lattice="2.7002 -4.6697 0.0000 2.7002 4.6697 0.0000 -1.8141 0.0000 5.0810" Properties=species:S:1:pos:R:3 pbc="T T T"
Mg 0.0000 0.0000 0.0000
Mg 1.7931 3.1446 2.5405
Mg 1.7931 0.0000 2.5405
Mg 1.7931 -3.1446 2.5405
Nb 2.7002 1.5701 0.0000
Nb 2.7002 -1.5701 0.0000
N 0.9316 1.6169 1.1937
N 0.0579 0.0000 3.8611
N 0.9316 -1.6169 1.1937
N 2.6546 1.6169 3.8873
N 3.5283 0.0000 1.2199
N 2.6546 -1.6169 3.8873
```

---

A relaxed Tm2ReH crystal, computed with GGA-PBE.

Results
Energy (eV/atom): -5.661
Size of the total moment (μB per formula unit): 0.0

```
4
Lattice="1.5131 0.8736 8.6367 -1.5131 0.8736 8.6367 0.0000 -1.7472 8.6367" Properties=species:S:1:pos:R:3 pbc="T T T"
Tm 0.0000 0.0000 2.7475
Tm 0.0000 0.0000 23.1625
Re 0.0000 0.0000 0.0000
H 0.0000 0.0000 12.9550
```

---

A relaxed SmScPtPb crystal, computed with GGA-PBE.

Results
Energy (eV/atom): -5.862
Size of the total moment (μB per formula unit): 0.0

```
4
Lattice="0.0000 3.6175 3.6175 3.6175 0.0000 3.6175 3.6175 3.6175 0.0000" Properties=species:S:1:pos:R:3 pbc="T T T"
Sm 0.0000 0.0000 0.0000
Sc 3.6175 3.6175 3.6175
Pt 1.8088 1.8088 1.8088
Pb 5.4263 5.4263 5.4263
```

---

A relaxed LaScAs2 crystal, computed with GGA-PBE.

Results
Energy (eV/atom): -6.232
Distance to the lowest polymorph of the same formula (kJ per mole of atoms): 32.6
Size of the total moment (μB per formula unit): 0.0

```
4
Lattice="3.5409 0.0000 0.0000 0.0000 3.7384 0.0000 -1.7130 0.0000 7.0909" Properties=species:S:1:pos:R:3 pbc="T T T"
La 0.0000 0.0000 0.0000
Sc 0.9140 0.0000 3.5455
As -0.2900 1.8692 5.1466
As 2.1179 1.8692 1.9443
```

---

A relaxed La3YN crystal, computed with GGA-PBE.

Results
E_form (uncorrected) (meV per atom): 1597.0
Energy (eV/atom): -4.317
Distance to the lowest polymorph of the same formula (kJ per mole of atoms): 202.1
Size of the total moment (μB per formula unit): 0.0

```
5
Lattice="5.6490 0.0000 0.0000 0.0000 5.6490 0.0000 0.0000 0.0000 5.6490" Properties=species:S:1:pos:R:3 pbc="T T T"
La 0.0000 0.0000 2.8245
La 0.0000 2.8245 0.0000
La 2.8245 0.0000 0.0000
Y 0.0000 0.0000 0.0000
N 2.8245 2.8245 2.8245
```

---

A relaxed Hg2IrPd2 crystal, computed with GGA-PBE.

Results
Energy (eV/atom): -3.551
Distance to the lowest polymorph of the same formula (kJ per mole of atoms): 0.0
Size of the total moment (μB per formula unit): 0.7

```
10
Lattice="7.8408 0.0000 0.0000 0.0000 7.8408 0.0000 0.0000 0.0000 2.9775" Properties=species:S:1:pos:R:3 pbc="T T T"
Hg 1.2628 2.6576 0.0000
Hg 2.6576 6.5780 0.0000
Hg 5.1832 1.2628 0.0000
Hg 6.5780 5.1832 0.0000
Ir 0.0000 0.0000 0.0000
Ir 3.9204 3.9204 0.0000
Pd 1.0745 4.9949 1.4888
Pd 2.8459 1.0745 1.4888
Pd 4.9949 6.7664 1.4888
Pd 6.7664 2.8459 1.4888
```

---

A relaxed K2UTe3 crystal, computed with GGA-PBE.

Results
E_form (uncorrected) (meV per atom): -842.3
Energy (eV/atom): -4.660
Distance to the lowest polymorph of the same formula (kJ per mole of atoms): 9.5
Size of the total moment (μB per formula unit): 2.0

```
6
Lattice="3.2358 -8.2833 0.0000 3.2358 8.2833 0.0000 0.0000 0.0000 4.5984" Properties=species:S:1:pos:R:3 pbc="T T T"
K 3.2358 5.6432 0.0000
K 3.2358 -5.6432 0.0000
U 3.2358 0.0000 2.2992
Te 0.0000 0.0000 2.2992
Te 3.2358 2.0441 0.0000
Te 3.2358 -2.0441 0.0000
```

---

A relaxed Rb2AgOsBr6 crystal, computed with GGA-PBE.

Results
E_form (uncorrected) (meV per atom): -718.2
Energy (eV/atom): -3.324
Size of the total moment (μB per formula unit): 1.0

```
10
Lattice="0.0000 5.3864 5.3864 5.3864 0.0000 5.3864 5.3864 5.3864 0.0000" Properties=species:S:1:pos:R:3 pbc="T T T"
Rb 2.6932 2.6932 2.6932
Rb 8.0797 8.0797 8.0797
Ag 0.0000 0.0000 0.0000
Os 5.3864 5.3864 5.3864
Br 5.3864 5.3864 2.8438
Br 5.3864 2.8438 5.3864
Br 7.9290 5.3864 5.3864
Br 2.8438 5.3864 5.3864
Br 5.3864 7.9290 5.3864
Br 5.3864 5.3864 7.9290
```

---

A relaxed LaTb3Pr3 crystal, computed with GGA-PBE.

Results
Energy (eV/atom): -4.611
Distance to the lowest polymorph of the same formula (kJ per mole of atoms): 9.1
Size of the total moment (μB per formula unit): 0.0

```
14
Lattice="4.7664 2.7519 6.3084 -4.7664 2.7519 6.3084 0.0000 -5.5038 6.3084" Properties=species:S:1:pos:R:3 pbc="T T T"
La 0.0000 0.0000 1.6996
La 0.0000 0.0000 17.2257
Tb -2.0151 0.3953 4.5440
Tb 0.6652 -1.9428 4.5440
Tb 1.3499 1.5475 4.5440
Tb -1.3499 -1.5475 14.3813
Tb -0.6652 1.9428 14.3812
Tb 2.0151 -0.3953 14.3812
Pr -2.0541 0.3982 8.0027
Pr -1.3719 -1.5798 10.9226
Pr 0.6822 -1.9780 8.0027
Pr -0.6822 1.9780 10.9226
Pr 1.3719 1.5798 8.0027
Pr 2.0541 -0.3982 10.9226
```

---

A relaxed ThGa7Rh2 crystal, computed with GGA-PBE.

Results
Energy (eV/atom): -4.494
Size of the total moment (μB per formula unit): 0.0

```
10
Lattice="3.8673 -6.8078 0.0000 3.8673 6.8078 0.0000 0.0000 0.0000 4.1803" Properties=species:S:1:pos:R:3 pbc="T T T"
Th 0.0000 0.0000 0.0000
Ga 1.4217 1.9803 2.0901
Ga 3.8673 3.6431 0.0000
Ga 1.4217 -1.9803 2.0901
Ga 3.8673 0.0000 2.0901
Ga 6.3129 1.9803 2.0901
Ga 3.8673 -3.6431 0.0000
Ga 6.3129 -1.9803 2.0901
Rh 3.8673 2.4025 2.0901
Rh 3.8673 -2.4025 2.0901
```

---

A relaxed La2TbHfN4 crystal, computed with GGA-PBE.

Results
E_form (uncorrected) (meV per atom): -1519.5
Energy (eV/atom): -8.737
Size of the total moment (μB per formula unit): 0.0

```
8
Lattice="6.0577 0.0000 0.0000 0.0000 3.4860 0.0000 -1.9996 0.0000 5.8761" Properties=species:S:1:pos:R:3 pbc="T T T"
La 0.0000 0.0000 0.0000
La 3.0288 1.7430 0.0000
Tb -0.9998 1.7430 2.9381
Hf 2.0290 0.0000 2.9381
N 0.1311 0.0000 4.2282
N 1.1019 1.7430 1.6799
N 2.9561 1.7430 4.1963
N 3.9270 0.0000 1.6479
```

---

A relaxed Y4TaBe crystal, computed with GGA-PBE.

Results
Energy (eV/atom): -5.885
Size of the total moment (μB per formula unit): 1.2

```
6
Lattice="0.0000 4.3005 4.3005 4.3005 0.0000 4.3005 4.3005 4.3005 0.0000" Properties=species:S:1:pos:R:3 pbc="T T T"
Y 3.2345 3.2345 3.2345
Y 5.3665 5.3665 3.2345
Y 5.3665 3.2345 5.3665
Y 3.2345 5.3665 5.3665
Ta 6.4508 6.4508 6.4508
Be 0.0000 0.0000 0.0000
```

---

A relaxed FeAgBr2 crystal, computed with GGA-PBE.

Results
E_form (uncorrected) (meV per atom): 259.4
Energy (eV/atom): -3.406
Distance to the lowest polymorph of the same formula (kJ per mole of atoms): 27.6
Size of the total moment (μB per formula unit): 3.2

```
4
Lattice="3.3888 0.0000 0.0000 0.0000 3.3888 0.0000 0.0000 0.0000 7.3244" Properties=species:S:1:pos:R:3 pbc="T T T"
Fe 0.0000 0.0000 0.0000
Ag 0.0000 0.0000 3.6622
Br 1.6944 1.6944 1.6340
Br 1.6944 1.6944 5.6904
```